Here is a relaxed GeMo2N crystal from the Alexandria database. Energies are from PBE.

**E above lowest polymorph**: 157 meV per atom
**ΔE_f (raw)**: 134 meV/atom
**Symmetry**: R-3m (166)
**Total magnetization**: 0.00 Bohr magnetons per cell
**Crystal system**: trigonal

a = 7.7853 Å, b = 7.7853 Å, c = 7.7853 Å
α = 21.79°, β = 21.79°, γ = 21.79°
Last column: nearest neighbours and their distance in Å.
Fractional positions:
1 Ge 0.0000 0.0000 0.0000  2 Mo 2.49
2 Mo 0.1092 0.1092 0.1092  3 N 2.15
3 Mo 0.8908 0.8908 0.8908  3 N 2.15
4 N 0.5000 0.5000 0.5000  6 Mo 2.15



Here is a relaxed GeMo2N crystal from the Alexandria database. Energies are from PBE.

**E above lowest polymorph**: 388 meV per atom
**ΔE_f (raw)**: 364 meV/atom
**Symmetry**: I-42d (122)
**Total magnetization**: 0.00 Bohr magnetons per cell
**Crystal system**: tetragonal

a = 6.3807 Å, b = 6.3807 Å, c = 6.3807 Å
α = 133.29°, β = 133.29°, γ = 68.20°
Last column: nearest neighbours and their distance in Å.
Fractional positions:
1 Ge 0.0000 0.0000 0.0000  4 Mo 2.54
2 Ge 0.7500 0.2500 0.5000  4 Mo 2.54
3 Mo 0.2235 0.6250 0.0985  2 N 1.98
4 Mo 0.3750 0.4735 0.5985  2 N 1.98
5 Mo 0.5265 0.1250 0.9015  2 N 1.98
6 Mo 0.8750 0.7765 0.4015  2 N 1.98
7 N 0.2500 0.7500 0.5000  4 Mo 1.98
8 N 0.5000 0.5000 0.0000  4 Mo 1.98



Here is a relaxed Ge2MoN crystal from the Alexandria database. Energies are from PBE.

**ΔE_f (raw)**: 601 meV/atom
**Symmetry**: I-42d (122)
**Total magnetization**: 0.00 Bohr magnetons per cell
**Crystal system**: tetragonal

a = 5.3071 Å, b = 5.3071 Å, c = 5.3071 Å
α = 110.45°, β = 110.45°, γ = 107.53°
Last column: nearest neighbours and their distance in Å.
Fractional positions:
1 Ge 0.0496 0.1250 0.4246  2 N 2.01
2 Ge 0.3750 0.9504 0.0754  2 N 2.01
3 Ge 0.7004 0.6250 0.5754  2 N 2.01
4 Ge 0.8750 0.2996 0.9246  2 N 2.01
5 Mo 0.2500 0.7500 0.5000  4 Ge 2.60
6 Mo 0.5000 0.5000 0.0000  4 Ge 2.60
7 N 0.0000 0.0000 0.0000  4 Ge 2.01
8 N 0.7500 0.2500 0.5000  4 Ge 2.01



Here is a relaxed GeMo4N2 crystal from the Alexandria database. Energies are from PBE.

**ΔE_f (raw)**: 1310 meV/atom
**Symmetry**: I4/mmm (139)
**Total magnetization**: 0.00 Bohr magnetons per cell
**Crystal system**: tetragonal

a = 6.3252 Å, b = 6.3252 Å, c = 6.3252 Å
α = 138.00°, β = 138.00°, γ = 60.90°
Last column: nearest neighbours and their distance in Å.
Fractional positions:
1 Ge 0.0000 0.0000 0.0000  4 Mo 2.27
2 Mo 0.0000 0.5000 0.5000  2 Ge 2.27, 4 N 2.50
3 Mo 0.2394 0.2394 0.0000  1 N 1.79
4 Mo 0.5000 0.0000 0.5000  2 Ge 2.27, 4 N 2.50
5 Mo 0.7606 0.7606 0.0000  1 N 1.79
6 N 0.4032 0.4032 0.0000  1 Mo 1.79
7 N 0.5968 0.5968 0.0000  1 Mo 1.79



Here is a relaxed GeMo3N crystal from the Alexandria database. Energies are from PBE.

**E above lowest polymorph**: 0 meV per atom
**ΔE_f (raw)**: -79 meV/atom
**Symmetry**: Pm-3m (221)
**Total magnetization**: 0.00 Bohr magnetons per cell
**Crystal system**: cubic

a = 4.1139 Å, b = 4.1139 Å, c = 4.1139 Å
α = 90.00°, β = 90.00°, γ = 90.00°
Last column: nearest neighbours and their distance in Å.
Fractional positions:
1 Ge 0.0000 0.0000 0.0000  12 Mo 2.91
2 Mo 0.0000 0.5000 0.5000  2 N 2.06
3 Mo 0.5000 0.0000 0.5000  2 N 2.06
4 Mo 0.5000 0.5000 0.0000  2 N 2.06
5 N 0.5000 0.5000 0.5000  6 Mo 2.06



Here is a relaxed GeMo2N crystal from the Alexandria database. Energies are from PBE.

**E above lowest polymorph**: 749 meV per atom
**ΔE_f (raw)**: 726 meV/atom
**Symmetry**: Fm-3m (225)
**Total magnetization**: 0.69 Bohr magnetons per cell
**Crystal system**: cubic

a = 4.2020 Å, b = 4.2020 Å, c = 4.2020 Å
α = 60.00°, β = 60.00°, γ = 60.00°
Last column: nearest neighbours and their distance in Å.
Fractional positions:
1 Ge 0.0000 0.0000 0.0000  8 Mo 2.57
2 Mo 0.2500 0.2500 0.2500  4 N 2.57, 4 Ge 2.57
3 Mo 0.7500 0.7500 0.7500  4 N 2.57, 4 Ge 2.57
4 N 0.5000 0.5000 0.5000  8 Mo 2.57



Here is a relaxed GeMoN2 crystal from the Alexandria database. Energies are from PBE.

**ΔE_f (raw)**: 320 meV/atom
**Symmetry**: I-42d (122)
**Total magnetization**: 0.00 Bohr magnetons per cell
**Crystal system**: tetragonal

a = 6.0150 Å, b = 6.0150 Å, c = 6.0150 Å
α = 130.56°, β = 130.56°, γ = 72.52°
Last column: nearest neighbours and their distance in Å.
Fractional positions:
1 Ge 0.0000 0.0000 0.0000  4 N 2.44
2 Ge 0.7500 0.2500 0.5000  4 N 2.44
3 Mo 0.2500 0.7500 0.5000  4 N 1.93
4 Mo 0.5000 0.5000 0.0000  4 N 1.93
5 N 0.2142 0.6250 0.0892  2 Mo 1.93
6 N 0.3750 0.4642 0.5892  2 Mo 1.93
7 N 0.5358 0.1250 0.9108  2 Mo 1.93
8 N 0.8750 0.7858 0.4108  2 Mo 1.93



Here is a relaxed GeMoN crystal from the Alexandria database. Energies are from PBE.

**ΔE_f (raw)**: 80 meV/atom
**Symmetry**: R-3m (166)
**Total magnetization**: 0.00 Bohr magnetons per cell
**Crystal system**: trigonal

a = 11.3527 Å, b = 11.3527 Å, c = 11.3527 Å
α = 15.94°, β = 15.94°, γ = 15.94°
Last column: nearest neighbours and their distance in Å.
Fractional positions:
1 Ge 0.1359 0.1359 0.1359  3 Mo 2.70, 3 Ge 2.75
2 Ge 0.8640 0.8640 0.8640  3 Mo 2.70, 3 Ge 2.75
3 Mo 0.4097 0.4097 0.4097  3 N 2.00
4 Mo 0.5903 0.5903 0.5903  3 N 2.00
5 N 0.2815 0.2815 0.2815  3 Mo 2.00
6 N 0.7185 0.7185 0.7185  3 Mo 2.00



Here is a relaxed GeMoN2 crystal from the Alexandria database. Energies are from PBE.

**ΔE_f (raw)**: -2 meV/atom
**Symmetry**: R-3m (166)
**Total magnetization**: 0.00 Bohr magnetons per cell
**Crystal system**: trigonal

a = 6.6349 Å, b = 6.6349 Å, c = 6.6349 Å
α = 25.66°, β = 25.66°, γ = 25.66°
Last column: nearest neighbours and their distance in Å.
Fractional positions:
1 Ge 0.0000 0.0000 0.0000  2 N 1.99
2 Mo 0.5000 0.5000 0.5000  6 N 2.09
3 N 0.1033 0.1033 0.1033  1 Ge 1.99, 3 Mo 2.09
4 N 0.8967 0.8967 0.8967  1 Ge 1.99, 3 Mo 2.09



Here is a relaxed Ge3MoN crystal from the Alexandria database. Energies are from PBE.

**E above lowest polymorph**: 375 meV per atom
**ΔE_f (raw)**: 1219 meV/atom
**Symmetry**: Pm-3m (221)
**Total magnetization**: 2.93 Bohr magnetons per cell
**Crystal system**: cubic

a = 4.8836 Å, b = 4.8836 Å, c = 4.8836 Å
α = 90.00°, β = 90.00°, γ = 90.00°
Last column: nearest neighbours and their distance in Å.
Fractional positions:
1 Ge 0.0000 0.0000 0.5000  2 Mo 2.44
2 Ge 0.0000 0.5000 0.0000  2 Mo 2.44
3 Ge 0.5000 0.0000 0.0000  2 Mo 2.44
4 Mo 0.0000 0.0000 0.0000  6 Ge 2.44
5 N 0.5000 0.5000 0.5000  12 Ge 3.45



Here is a relaxed GeMo2N crystal from the Alexandria database. Energies are from PBE.

**E above lowest polymorph**: 0 meV per atom
**ΔE_f (raw)**: -24 meV/atom
**Symmetry**: R3m (160)
**Total magnetization**: 0.00 Bohr magnetons per cell
**Crystal system**: trigonal

a = 6.8237 Å, b = 6.8237 Å, c = 6.8237 Å
α = 25.66°, β = 25.66°, γ = 25.66°
Last column: nearest neighbours and their distance in Å.
Fractional positions:
1 Ge 0.0000 0.0000 0.0000  6 Mo 2.66-2.70
2 Mo 0.5625 0.5625 0.5625  3 N 2.15
3 Mo 0.7677 0.7677 0.7677  3 N 2.17
4 N 0.1656 0.1656 0.1656  6 Mo 2.15-2.17



Here is a relaxed Ge3MoN crystal from the Alexandria database. Energies are from PBE.

**E above lowest polymorph**: 0 meV per atom
**ΔE_f (raw)**: 844 meV/atom
**Symmetry**: Pm-3m (221)
**Total magnetization**: 1.19 Bohr magnetons per cell
**Crystal system**: cubic

a = 4.2194 Å, b = 4.2194 Å, c = 4.2194 Å
α = 90.00°, β = 90.00°, γ = 90.00°
Last column: nearest neighbours and their distance in Å.
Fractional positions:
1 Ge 0.0000 0.0000 0.5000  2 N 2.11
2 Ge 0.0000 0.5000 0.0000  2 N 2.11
3 Ge 0.5000 0.0000 0.0000  2 N 2.11
4 Mo 0.5000 0.5000 0.5000  12 Ge 2.98
5 N 0.0000 0.0000 0.0000  6 Ge 2.11



Here is a relaxed Na2GeMoN4 crystal from the Alexandria database. Energies are from PBE.

**ΔE_f (raw)**: -315 meV/atom
**Symmetry**: I-4 (82)
**Total magnetization**: 0.00 Bohr magnetons per cell
**Crystal system**: tetragonal

a = 5.6212 Å, b = 5.6212 Å, c = 5.6212 Å
α = 124.02°, β = 124.02°, γ = 83.17°
Last column: nearest neighbours and their distance in Å.
Fractional positions:
1 Na 0.0000 0.0000 0.0000  4 N 2.51
2 Na 0.7500 0.2500 0.5000  4 N 2.49
3 Ge 0.5000 0.5000 0.0000  4 N 1.86
4 Mo 0.2500 0.7500 0.5000  4 N 1.87
5 N 0.2228 0.1266 0.6010  1 Ge 1.86, 1 Mo 1.87
6 N 0.3783 0.7772 0.9038  1 Ge 1.86, 1 Mo 1.87
7 N 0.5256 0.6217 0.3990  1 Ge 1.86, 1 Mo 1.87
8 N 0.8734 0.4744 0.0962  1 Ge 1.86, 1 Mo 1.87



Here is a relaxed NaGe2MoN crystal from the Alexandria database. Energies are from PBE.

**ΔE_f (raw)**: 1473 meV/atom
**Symmetry**: P4/mmm (123)
**Total magnetization**: 4.25 Bohr magnetons per cell
**Crystal system**: tetragonal

a = 4.8527 Å, b = 4.8527 Å, c = 6.0801 Å
α = 90.00°, β = 90.00°, γ = 90.00°
Last column: nearest neighbours and their distance in Å.
Fractional positions:
1 Na 0.0000 0.0000 0.0000  2 Mo 3.04
2 Ge 0.0000 0.5000 0.5000  2 Mo 2.43
3 Ge 0.5000 0.0000 0.5000  2 Mo 2.43
4 Mo 0.0000 0.0000 0.5000  4 Ge 2.43
5 N 0.5000 0.5000 0.0000  4 Na 3.43